[1]
DFT (PBE-GGA) results for a relaxed structure of Ac2IrRh.

```
Ac2IrRh
1.0
0.000 3.715 3.715
3.715 0.000 3.715
3.715 3.715 0.000
Ac Ir Rh
2 1 1
Cartesian
1.857 1.857 1.857 Ac
5.572 5.572 5.572 Ac
0.000 0.000 0.000 Ir
3.715 3.715 3.715 Rh
```

## Properties
- ΔE_f: -191 kJ/mol of formula units

=====

[2]
DFT (PBE-GGA) results for a relaxed structure of Pm3Ho2Ga4.

```
Pm3Ho2Ga4
1.0
3.575 -7.466 0.000
3.575 7.466 0.000
0.000 0.000 9.036
Pm Ho Ga
6 4 8
Cartesian
0.000 0.000 0.000 Pm
1.787 3.258 2.259 Pm
1.787 -3.258 6.777 Pm
3.575 0.000 4.518 Pm
5.362 3.258 2.259 Pm
5.362 -3.258 6.777 Pm
3.575 5.896 3.964 Ho
3.575 1.570 8.482 Ho
3.575 -1.570 0.554 Ho
3.575 -5.896 5.072 Ho
3.575 4.531 0.216 Ga
1.787 0.205 2.259 Ga
1.787 -0.205 6.777 Ga
3.575 2.935 4.734 Ga
3.575 -2.935 4.302 Ga
5.362 0.205 2.259 Ga
5.362 -0.205 6.777 Ga
3.575 -4.531 8.820 Ga
```

## Properties
- ΔE_f: -308 kJ/mol of formula units

=====

[3]
DFT (PBE-GGA) results for a relaxed structure of YInF2.

```
YInF2
1.0
1.681 0.970 9.437
-1.681 0.970 9.437
0.000 -1.941 9.437
Y In F
1 1 2
Cartesian
0.000 0.000 0.000 Y
0.000 0.000 14.155 In
0.000 0.000 10.750 F
0.000 0.000 17.560 F
```

## Properties
- Raw formation energy: -2.226 eV per atom